{
  "formula": "LaTaZn3",
  "functional": "GGA-PBE",
  "state": "optimized geometry",
  "lattice_angstrom": [[5.178, 0.000, 0.000], [0.000, 5.178, 0.000], [0.000, 0.000, 5.178]],
  "species": ["Zn", "Zn", "Zn", "La", "Ta"],
  "frac_coords": [[0.000, 0.500, 0.000], [0.000, 0.000, 0.500], [0.500, 0.000, 0.000], [0.000, 0.000, 0.000], [0.500, 0.500, 0.500]],
  "space_group": "Pm-3m",
  "magmom_total_mub_per_cell": 0.0,
  "formation_energy_ev_per_atom": 1.842,
  "de_polymorph_ev_per_fu": 7.183
}